Entry 1:
VASP calculation (PBE-GGA) on crystalline AcNdTm3 at its relaxed geometry.

Computed properties:
polymorph energy (0 for the lowest one)	0.0436	eV/atom
D(E_F)	28.84	states/eV/cell
magnetic moment	0.00	μB per formula unit
energy of formation	0.0909	eV/atom
E	-87.34	eV/cell

```
AcNdTm3
1.0
9.767 0.000 0.000
0.000 6.215 0.000
-3.773 0.000 11.186
Ac Nd Tm
4 4 12
direct
0.107 0.242 0.025
0.107 0.258 0.525
0.893 0.742 0.475
0.893 0.758 0.975
0.313 0.136 0.327
0.313 0.364 0.827
0.687 0.636 0.173
0.687 0.864 0.673
0.106 0.627 0.279
0.106 0.873 0.779
0.303 0.713 0.075
0.303 0.787 0.575
0.497 0.664 0.381
0.497 0.836 0.881
0.503 0.164 0.119
0.503 0.336 0.619
0.697 0.213 0.425
0.697 0.287 0.925
0.894 0.127 0.221
0.894 0.373 0.721
```

Entry 2:
VASP calculation (PBE-GGA) on crystalline AcNdTm2 at its relaxed geometry.

Computed properties:
polymorph energy (0 for the lowest one)	0.0247	eV/atom
D(E_F)	5.75	states/eV/cell
magnetic moment	0.00	μB per formula unit
energy of formation	0.0756	eV/atom
E	-17.52	eV/cell

```
AcNdTm2
1.0
1.845 1.065 11.819
-1.845 1.065 11.819
0.000 -2.130 11.819
Ac Nd Tm
1 1 2
direct
0.000 0.000 0.000
0.166 0.166 0.166
0.580 0.580 0.580
0.753 0.753 0.753
```

Entry 3:
VASP calculation (PBE-GGA) on crystalline AcNd6Tm at its relaxed geometry.

Computed properties:
D(E_F)	13.86	states/eV/cell
magnetic moment	0.00	μB per formula unit
energy of formation	0.0281	eV/atom
E	-36.96	eV/cell

```
AcNd6Tm
1.0
5.228 0.000 0.000
0.000 5.228 0.000
0.000 0.000 10.439
Ac Nd Tm
1 6 1
direct
0.000 0.000 0.000
0.000 0.500 0.259
0.000 0.500 0.741
0.500 0.000 0.259
0.500 0.000 0.741
0.500 0.500 0.000
0.500 0.500 0.500
0.000 0.000 0.500
```

Entry 4:
VASP calculation (PBE-GGA) on crystalline AcNd3Tm at its relaxed geometry.

Computed properties:
polymorph energy (0 for the lowest one)	0.3263	eV/atom
D(E_F)	16.45	states/eV/cell
magnetic moment	0.00	μB per formula unit
energy of formation	0.3710	eV/atom
E	-42.06	eV/cell

```
AcNd3Tm
1.0
3.161 1.825 11.531
-3.161 1.825 11.531
0.000 -3.650 11.531
Ac Nd Tm
2 6 2
direct
0.167 0.167 0.167
0.833 0.833 0.833
0.083 0.404 0.749
0.251 0.917 0.596
0.404 0.749 0.083
0.596 0.251 0.917
0.749 0.083 0.404
0.917 0.596 0.251
0.334 0.334 0.334
0.666 0.666 0.666
```

Entry 5:
VASP calculation (PBE-GGA) on crystalline AcNd4Tm6 at its relaxed geometry.

Computed properties:
D(E_F)	18.73	states/eV/cell
magnetic moment	0.00	μB per formula unit
energy of formation	0.2871	eV/atom
E	-46.85	eV/cell

```
AcNd4Tm6
1.0
0.000 5.234 11.589
3.164 0.000 11.589
3.164 5.234 0.000
Ac Nd Tm
1 4 6
direct
0.000 0.000 0.000
0.045 0.701 0.299
0.299 0.955 0.045
0.701 0.045 0.955
0.955 0.299 0.701
0.250 0.250 0.250
0.340 0.660 0.340
0.345 0.345 0.655
0.655 0.655 0.345
0.660 0.340 0.660
0.750 0.750 0.750
```

Entry 6:
VASP calculation (PBE-GGA) on crystalline Ac3Nd6Tm at its relaxed geometry.

Computed properties:
D(E_F)	23.86	states/eV/cell
magnetic moment	0.00	μB per formula unit
energy of formation	0.3390	eV/atom
E	-42.01	eV/cell

```
Ac3Nd6Tm
1.0
5.102 2.946 4.330
-5.102 2.946 4.330
0.000 -5.892 4.330
Ac Nd Tm
3 6 1
direct
0.000 0.000 0.000
0.258 0.258 0.258
0.742 0.742 0.742
0.097 0.423 0.748
0.252 0.903 0.577
0.423 0.748 0.097
0.577 0.252 0.903
0.748 0.097 0.423
0.903 0.577 0.252
0.500 0.500 0.500
```

Entry 7:
VASP calculation (PBE-GGA) on crystalline AcNd4Tm4 at its relaxed geometry.

Computed properties:
D(E_F)	23.58	states/eV/cell
magnetic moment	0.00	μB per formula unit
energy of formation	0.0353	eV/atom
E	-81.50	eV/cell

```
AcNd4Tm4
1.0
6.263 0.000 0.000
-0.076 8.907 0.000
-2.095 -2.922 10.883
Ac Nd Tm
2 8 8
direct
0.170 0.417 0.253
0.830 0.583 0.747
0.055 0.808 0.418
0.058 0.304 0.915
0.172 0.916 0.748
0.282 0.022 0.085
0.718 0.978 0.915
0.828 0.084 0.252
0.942 0.696 0.085
0.945 0.192 0.582
0.279 0.526 0.584
0.389 0.636 0.919
0.393 0.137 0.422
0.496 0.249 0.748
0.504 0.751 0.252
0.607 0.863 0.578
0.611 0.364 0.081
0.721 0.474 0.416
```

Entry 8:
VASP calculation (PBE-GGA) on crystalline AcNdTm2 at its relaxed geometry.

Computed properties:
polymorph energy (0 for the lowest one)	0.0030	eV/atom
D(E_F)	4.14	states/eV/cell
magnetic moment	0.00	μB per formula unit
energy of formation	0.0539	eV/atom
E	-17.60	eV/cell

```
AcNdTm2
1.0
1.848 1.067 11.672
-1.848 1.067 11.672
0.000 -2.133 11.672
Ac Nd Tm
1 1 2
direct
0.000 0.000 0.000
0.500 0.500 0.500
0.248 0.248 0.248
0.752 0.752 0.752
```

Entry 9:
VASP calculation (PBE-GGA) on crystalline Ac6Nd2Tm at its relaxed geometry.

Computed properties:
D(E_F)	28.65	states/eV/cell
magnetic moment	0.00	μB per formula unit
energy of formation	0.1351	eV/atom
E	-74.88	eV/cell

```
Ac6Nd2Tm
1.0
6.724 0.000 0.000
0.000 10.237 0.000
-6.593 0.000 10.843
Ac Nd Tm
12 4 2
direct
0.055 0.119 0.205
0.055 0.381 0.705
0.294 0.712 0.648
0.294 0.788 0.148
0.369 0.155 0.016
0.369 0.345 0.516
0.631 0.655 0.484
0.631 0.845 0.984
0.706 0.212 0.852
0.706 0.288 0.352
0.945 0.619 0.295
0.945 0.881 0.795
0.149 0.068 0.638
0.149 0.432 0.138
0.851 0.568 0.862
0.851 0.932 0.362
0.500 0.000 0.500
0.500 0.500 0.000
```

Entry 10:
VASP calculation (PBE-GGA) on crystalline Ac9Nd2Tm at its relaxed geometry.

Computed properties:
D(E_F)	19.19	states/eV/cell
magnetic moment	0.00	μB per formula unit
energy of formation	0.0283	eV/atom
E	-50.64	eV/cell

```
Ac9Nd2Tm
1.0
5.506 0.000 0.000
0.000 5.506 0.000
0.000 0.000 16.567
Ac Nd Tm
9 2 1
direct
0.000 0.000 0.000
0.000 0.000 0.332
0.000 0.000 0.668
0.000 0.500 0.164
0.000 0.500 0.500
0.000 0.500 0.836
0.500 0.000 0.164
0.500 0.000 0.500
0.500 0.000 0.836
0.500 0.500 0.332
0.500 0.500 0.668
0.500 0.500 0.000
```

Entry 11:
VASP calculation (PBE-GGA) on crystalline AcNd5Tm at its relaxed geometry.

Computed properties:
D(E_F)	19.95	states/eV/cell
magnetic moment	0.00	μB per formula unit
energy of formation	0.0899	eV/atom
E	-63.58	eV/cell

```
AcNd5Tm
1.0
4.484 -5.072 0.000
4.484 5.072 0.000
-3.835 0.000 11.184
Ac Nd Tm
2 10 2
direct
0.000 0.500 0.000
0.500 0.000 0.500
0.066 0.276 0.534
0.080 0.920 0.250
0.276 0.066 0.034
0.301 0.446 0.330
0.446 0.301 0.830
0.554 0.699 0.170
0.699 0.554 0.670
0.724 0.934 0.966
0.920 0.080 0.750
0.934 0.724 0.466
0.259 0.741 0.750
0.741 0.259 0.250
```

Entry 12:
VASP calculation (PBE-GGA) on crystalline Ac4NdTm at its relaxed geometry.

Computed properties:
polymorph energy (0 for the lowest one)	0.0000	eV/atom
D(E_F)	11.82	states/eV/cell
magnetic moment	0.00	μB per formula unit
energy of formation	0.1550	eV/atom
E	-24.74	eV/cell

```
Ac4NdTm
1.0
3.720 0.000 0.000
0.000 6.229 0.000
0.000 0.000 10.593
Ac Nd Tm
4 1 1
direct
0.000 0.000 0.167
0.000 0.000 0.833
0.000 0.500 0.329
0.000 0.500 0.671
0.500 0.000 0.500
0.500 0.500 0.000
```

Entry 13:
VASP calculation (PBE-GGA) on crystalline Ac2Nd9Tm at its relaxed geometry.

Computed properties:
D(E_F)	26.09	states/eV/cell
magnetic moment	0.00	μB per formula unit
energy of formation	0.1168	eV/atom
E	-54.20	eV/cell

```
Ac2Nd9Tm
1.0
6.159 0.000 0.000
0.000 6.159 0.000
0.000 0.000 11.488
Ac Nd Tm
2 9 1
direct
0.000 0.000 0.170
0.000 0.000 0.830
0.000 0.500 0.000
0.000 0.500 0.343
0.000 0.500 0.657
0.500 0.000 0.000
0.500 0.000 0.343
0.500 0.000 0.657
0.500 0.500 0.162
0.500 0.500 0.500
0.500 0.500 0.838
0.000 0.000 0.500
```

Entry 14:
VASP calculation (PBE-GGA) on crystalline AcNd8Tm2 at its relaxed geometry.

Computed properties:
polymorph energy (0 for the lowest one)	0.0000	eV/atom
D(E_F)	17.66	states/eV/cell
magnetic moment	0.00	μB per formula unit
energy of formation	0.0270	eV/atom
E	-50.90	eV/cell

```
AcNd8Tm2
1.0
9.364 -2.601 0.000
9.364 2.601 0.000
-2.179 0.000 7.926
Ac Nd Tm
1 8 2
direct
0.000 0.000 0.000
0.094 0.094 0.461
0.184 0.184 0.910
0.360 0.360 0.808
0.452 0.452 0.276
0.548 0.548 0.724
0.640 0.640 0.192
0.816 0.816 0.090
0.906 0.906 0.539
0.271 0.271 0.365
0.729 0.729 0.635
```

Entry 15:
VASP calculation (PBE-GGA) on crystalline Ac5Nd4Tm at its relaxed geometry.

Computed properties:
D(E_F)	15.58	states/eV/cell
magnetic moment	0.00	μB per formula unit
energy of formation	0.0343	eV/atom
E	-43.74	eV/cell

```
Ac5Nd4Tm
1.0
3.890 0.000 0.000
0.000 3.890 0.000
0.000 0.000 25.951
Ac Nd Tm
5 4 1
direct
0.000 0.000 0.000
0.000 0.000 0.203
0.000 0.000 0.405
0.000 0.000 0.595
0.000 0.000 0.797
0.500 0.500 0.101
0.500 0.500 0.305
0.500 0.500 0.695
0.500 0.500 0.899
0.500 0.500 0.500
```

Entry 16:
VASP calculation (PBE-GGA) on crystalline Ac3Nd5Tm2 at its relaxed geometry.

Computed properties:
D(E_F)	29.80	states/eV/cell
magnetic moment	0.00	μB per formula unit
energy of formation	0.3368	eV/atom
E	-83.48	eV/cell

```
Ac3Nd5Tm2
1.0
-4.985 7.105 5.621
4.985 -7.105 5.621
4.985 7.105 -5.621
Ac Nd Tm
6 10 4
direct
0.124 0.248 0.372
0.250 0.250 0.000
0.376 0.748 0.123
0.624 0.252 0.877
0.750 0.750 0.000
0.876 0.752 0.628
0.005 0.750 0.255
0.120 0.602 0.722
0.250 0.750 0.500
0.380 0.102 0.481
0.495 0.750 0.745
0.505 0.250 0.255
0.620 0.898 0.519
0.750 0.250 0.500
0.880 0.398 0.278
0.995 0.250 0.745
0.138 0.909 0.047
0.362 0.409 0.771
0.638 0.591 0.229
0.862 0.091 0.953
```

Entry 17:
VASP calculation (PBE-GGA) on crystalline Ac14NdTm at its relaxed geometry.

Computed properties:
D(E_F)	28.17	states/eV/cell
magnetic moment	0.00	μB per formula unit
energy of formation	0.0274	eV/atom
E	-66.32	eV/cell

```
Ac14NdTm
1.0
11.205 0.000 0.000
0.000 5.573 5.572
0.000 -5.573 5.572
Ac Nd Tm
14 1 1
direct
0.000 0.000 0.000
0.000 0.000 0.500
0.000 0.500 0.000
0.000 0.500 0.500
0.256 0.249 0.249
0.256 0.249 0.751
0.256 0.751 0.249
0.257 0.751 0.751
0.500 0.001 0.500
0.500 0.500 0.001
0.743 0.751 0.751
0.744 0.249 0.249
0.744 0.249 0.751
0.744 0.751 0.249
0.500 0.500 0.500
0.500 0.000 0.000
```

Entry 18:
VASP calculation (PBE-GGA) on crystalline Ac2Nd7Tm4 at its relaxed geometry.

Computed properties:
D(E_F)	19.22	states/eV/cell
magnetic moment	0.00	μB per formula unit
energy of formation	0.2188	eV/atom
E	-56.63	eV/cell

```
Ac2Nd7Tm4
1.0
6.338 0.000 0.000
-3.169 5.489 0.000
0.000 0.000 13.209
Ac Nd Tm
2 7 4
direct
0.333 0.667 0.000
0.667 0.333 0.000
0.000 0.000 0.000
0.000 0.375 0.768
0.000 0.625 0.232
0.375 0.000 0.768
0.375 0.375 0.232
0.625 0.000 0.232
0.625 0.625 0.768
0.000 0.000 0.393
0.000 0.000 0.607
0.333 0.667 0.500
0.667 0.333 0.500
```

Entry 19:
VASP calculation (PBE-GGA) on crystalline Ac2NdTm at its relaxed geometry.

Computed properties:
polymorph energy (0 for the lowest one)	0.0000	eV/atom
D(E_F)	5.58	states/eV/cell
magnetic moment	0.00	μB per formula unit
energy of formation	0.0417	eV/atom
E	-17.29	eV/cell

```
Ac2NdTm
1.0
5.412 0.000 0.000
0.000 5.412 0.000
0.000 0.000 5.220
Ac Nd Tm
2 1 1
direct
0.000 0.500 0.000
0.500 0.000 0.000
0.000 0.000 0.500
0.500 0.500 0.500
```

Entry 20:
VASP calculation (PBE-GGA) on crystalline Ac5Nd6Tm at its relaxed geometry.

Computed properties:
D(E_F)	21.58	states/eV/cell
magnetic moment	0.00	μB per formula unit
energy of formation	0.0391	eV/atom
E	-53.15	eV/cell

```
Ac5Nd6Tm
1.0
-2.710 5.291 8.081
2.710 -5.291 8.081
2.710 5.291 -8.081
Ac Nd Tm
5 6 1
direct
0.000 0.000 0.000
0.167 0.667 0.500
0.338 0.338 0.000
0.662 0.662 0.000
0.833 0.333 0.500
0.089 0.836 0.253
0.254 0.500 0.754
0.418 0.164 0.253
0.582 0.836 0.747
0.746 0.500 0.246
0.911 0.164 0.747
0.500 0.000 0.500
```